An optimized crystal structure of Ba2Ga2Ge2As. Source: Alexandria via LeMat-Bulk, functional GGA-PBE.

Computed properties:
Calculated formation energy, eV per atom: -0.539

The structure in CIF format:
```
data_Ba2Ga2Ge2As
_cell_length_a 10.808
_cell_length_b 4.991
_cell_length_c 8.818
_cell_angle_alpha 90.00
_cell_angle_beta 126.56
_cell_angle_gamma 90.00
_space_group_name_H-M_alt 'C 1 2/m 1'
_space_group_IT_number 12
loop_
_space_group_symop_operation_xyz
'x,y,z'
'-x,-y,-z'
'-x,y,-z'
'x,-y,z'
'x+1/2,y+1/2,z'
'-x+1/2,-y+1/2,-z'
'-x+1/2,y+1/2,-z'
'x+1/2,-y+1/2,z'
loop_
_atom_site_label
_atom_site_type_symbol
_atom_site_fract_x
_atom_site_fract_y
_atom_site_fract_z
_atom_site_occupancy
Ba1 Ba 0.069 0.000 0.311 1
Ga1 Ga 0.226 0.500 0.863 1
Ge1 Ge 0.148 0.500 0.094 1
As1 As 0.000 0.500 0.500 1
```



An optimized crystal structure of Ba2GaGeAs. Source: Alexandria via LeMat-Bulk, functional GGA-PBE.

Computed properties:
Calculated formation energy, eV per atom: -0.733

The structure in CIF format:
```
data_Ba2GaGeAs
_cell_length_a 8.256
_cell_length_b 4.477
_cell_length_c 8.793
_cell_angle_alpha 90.00
_cell_angle_beta 90.02
_cell_angle_gamma 90.00
_space_group_name_H-M_alt 'P 1 21/m 1'
_space_group_IT_number 11
loop_
_space_group_symop_operation_xyz
'x,y,z'
'-x,-y,-z'
'-x,y+1/2,-z'
'x,-y+1/2,z'
loop_
_atom_site_label
_atom_site_type_symbol
_atom_site_fract_x
_atom_site_fract_y
_atom_site_fract_z
_atom_site_occupancy
Ba1 Ba 0.226 0.250 0.012 1
Ba2 Ba 0.227 0.250 0.488 1
Ga1 Ga 0.411 0.750 0.751 1
Ge1 Ge 0.431 0.750 0.250 1
As1 As 0.109 0.750 0.750 1
```



An optimized crystal structure of BaGaAs2H. Source: Alexandria via LeMat-Bulk, functional GGA-PBE.

Computed properties:
Raw total energy, eV per atom: -2.7789

The structure in CIF format:
```
data_BaGaAs2H
_cell_length_a 6.120
_cell_length_b 6.120
_cell_length_c 4.342
_cell_angle_alpha 90.00
_cell_angle_beta 90.00
_cell_angle_gamma 90.00
_space_group_name_H-M_alt 'P 4/m m m'
_space_group_IT_number 123
_space_group_name_Hall '-P 4 2'
loop_
_atom_site_label
_atom_site_type_symbol
_atom_site_fract_x
_atom_site_fract_y
_atom_site_fract_z
_atom_site_occupancy
Ba1 Ba 0.000 0.000 0.000 1
Ga1 Ga 0.500 0.500 0.500 1
As1 As 0.000 0.500 0.000 1
H1 H 0.000 0.000 0.500 1
```



An optimized crystal structure of BaGaAsH. Source: Alexandria via LeMat-Bulk, functional GGA-PBE.

Computed properties:
Raw total energy, eV per atom: -3.7780

The structure in CIF format:
```
data_BaGaAsH
_cell_length_a 4.5618
_cell_length_b 4.5618
_cell_length_c 10.6715
_cell_angle_alpha 90.00
_cell_angle_beta 90.00
_cell_angle_gamma 120.00
_space_group_name_H-M_alt 'P 63 m c'
_space_group_IT_number 186
_space_group_name_Hall 'P 6c -2c'
loop_
_atom_site_label
_atom_site_type_symbol
_atom_site_fract_x
_atom_site_fract_y
_atom_site_fract_z
_atom_site_occupancy
Ba1 Ba 0.3333 0.6667 0.0000 1
Ga1 Ga 0.0000 0.0000 0.2628 1
As1 As 0.3333 0.6667 0.3039 1
H1 H 0.0000 0.0000 0.1004 1
```



An optimized crystal structure of KBaGaAs2. Source: Alexandria via LeMat-Bulk, functional GGA-PBE.

Computed properties:
Calculated formation energy, eV per atom: -0.472

The structure in CIF format:
```
data_KBaGaAs2
_cell_length_a 6.471
_cell_length_b 14.343
_cell_length_c 7.244
_cell_angle_alpha 90.00
_cell_angle_beta 90.00
_cell_angle_gamma 90.00
_space_group_name_H-M_alt 'C m m e'
_space_group_IT_number 67
_space_group_name_Hall '-C 2a 2'
loop_
_atom_site_label
_atom_site_type_symbol
_atom_site_fract_x
_atom_site_fract_y
_atom_site_fract_z
_atom_site_occupancy
K1 K 0.250 0.000 0.000 1
Ba1 Ba 0.000 0.250 0.315 1
Ga1 Ga 0.000 0.000 0.500 1
As1 As 0.000 0.129 0.702 1
```



An optimized crystal structure of BaLiGaAs2. Source: Alexandria via LeMat-Bulk, functional GGA-PBE.

Computed properties:
Calculated formation energy, eV per atom: -0.779

The structure in CIF format:
```
data_BaLiGaAs2
_cell_length_a 13.351
_cell_length_b 4.269
_cell_length_c 10.292
_cell_angle_alpha 90.00
_cell_angle_beta 122.06
_cell_angle_gamma 90.00
_space_group_name_H-M_alt 'C 1 2/m 1'
_space_group_IT_number 12
loop_
_space_group_symop_operation_xyz
'x,y,z'
'-x,-y,-z'
'-x,y,-z'
'x,-y,z'
'x+1/2,y+1/2,z'
'-x+1/2,-y+1/2,-z'
'-x+1/2,y+1/2,-z'
'x+1/2,-y+1/2,z'
loop_
_atom_site_label
_atom_site_type_symbol
_atom_site_fract_x
_atom_site_fract_y
_atom_site_fract_z
_atom_site_occupancy
Ba1 Ba 0.185 0.000 0.152 1
Li1 Li 0.142 0.500 0.428 1
Ga1 Ga 0.034 0.000 0.683 1
As1 As 0.054 0.500 0.843 1
As2 As 0.163 0.000 0.573 1
```



An optimized crystal structure of BaMgGaAs2. Source: Alexandria via LeMat-Bulk, functional GGA-PBE.

Computed properties:
Calculated formation energy, eV per atom: -0.574

The structure in CIF format:
```
data_BaMgGaAs2
_cell_length_a 7.580
_cell_length_b 6.040
_cell_length_c 6.310
_cell_angle_alpha 90.00
_cell_angle_beta 114.58
_cell_angle_gamma 90.00
_space_group_name_H-M_alt 'P 1 2/c 1'
_space_group_IT_number 13
loop_
_space_group_symop_operation_xyz
'x,y,z'
'-x,-y,-z'
'-x,y,-z+1/2'
'x,-y,z+1/2'
loop_
_atom_site_label
_atom_site_type_symbol
_atom_site_fract_x
_atom_site_fract_y
_atom_site_fract_z
_atom_site_occupancy
Ba1 Ba 0.000 0.231 0.250 1
Mg1 Mg 0.500 0.499 0.250 1
Ga1 Ga 0.500 0.000 0.000 1
As1 As 0.241 0.271 0.870 1
```



An optimized crystal structure of Ba2NaGa2As4. Source: Alexandria via LeMat-Bulk, functional GGA-PBE.

Computed properties:
Calculated formation energy, eV per atom: -0.688

The structure in CIF format:
```
data_Ba2NaGa2As4
_cell_length_a 16.433
_cell_length_b 4.745
_cell_length_c 6.859
_cell_angle_alpha 90.00
_cell_angle_beta 112.30
_cell_angle_gamma 90.00
_space_group_name_H-M_alt 'C 1 2/m 1'
_space_group_IT_number 12
loop_
_space_group_symop_operation_xyz
'x,y,z'
'-x,-y,-z'
'-x,y,-z'
'x,-y,z'
'x+1/2,y+1/2,z'
'-x+1/2,-y+1/2,-z'
'-x+1/2,y+1/2,-z'
'x+1/2,-y+1/2,z'
loop_
_atom_site_label
_atom_site_type_symbol
_atom_site_fract_x
_atom_site_fract_y
_atom_site_fract_z
_atom_site_occupancy
Ba1 Ba 0.136 0.000 0.076 1
Na1 Na 0.000 0.000 0.500 1
Ga1 Ga 0.171 0.500 0.473 1
As1 As 0.008 0.500 0.193 1
As2 As 0.200 0.000 0.660 1
```